No. 1
# PBE LiTlInIr, optimized geometry
data_LiTlInIr
_cell_length_a 6.631
_cell_length_b 6.631
_cell_length_c 6.631
_cell_angle_alpha 90.00
_cell_angle_beta 90.00
_cell_angle_gamma 90.00
_symmetry_space_group_name_H-M 'F -4 3 m'
_symmetry_Int_Tables_number 216
_symmetry_space_group_name_Hall 'F -4 2 3'
loop_
_atom_site_label
_atom_site_fract_x
_atom_site_fract_y
_atom_site_fract_z
Li1 0.000 0.000 0.000
Tl1 0.250 0.250 0.250
In1 0.250 0.250 0.750
Ir1 0.000 0.000 0.500
# Volume in Å³/atom: 18.221
# Formation enthalpy at 0 K in eV per atom: -0.1057
# Total magnetization in μB/f.u.: 0.00
# Total DFT energy (no corrections) in eV/atom: -4.076

No. 2
# PBE Li2Tm3In3Ir, optimized geometry
data_Li2Tm3In3Ir
_cell_length_a 8.3335
_cell_length_b 8.3335
_cell_length_c 3.4029
_cell_angle_alpha 90.00
_cell_angle_beta 90.00
_cell_angle_gamma 120.00
_symmetry_space_group_name_H-M 'P -6 2 m'
_symmetry_Int_Tables_number 189
_symmetry_space_group_name_Hall 'P -6 -2'
loop_
_atom_site_label
_atom_site_fract_x
_atom_site_fract_y
_atom_site_fract_z
Li1 0.3333 0.6667 0.0000
Tm1 0.0000 0.7377 0.0000
In1 0.0000 0.3868 0.5000
Ir1 0.0000 0.0000 0.5000
# Volume in Å³/atom: 22.740
# Formation enthalpy at 0 K in eV per atom: -0.4858
# Total magnetization in μB/f.u.: 0.00
# Total DFT energy (no corrections) in eV/atom: -4.299

No. 3
# PBE LiTmInIr, optimized geometry
data_LiTmInIr
_cell_length_a 6.684
_cell_length_b 6.684
_cell_length_c 6.684
_cell_angle_alpha 90.00
_cell_angle_beta 90.00
_cell_angle_gamma 90.00
_symmetry_space_group_name_H-M 'F -4 3 m'
_symmetry_Int_Tables_number 216
_symmetry_space_group_name_Hall 'F -4 2 3'
loop_
_atom_site_label
_atom_site_fract_x
_atom_site_fract_y
_atom_site_fract_z
Li1 0.000 0.000 0.000
Tm1 0.250 0.250 0.750
In1 0.250 0.250 0.250
Ir1 0.000 0.000 0.500
# Volume in Å³/atom: 18.665
# Formation enthalpy at 0 K in eV per atom: -0.5479
# Total magnetization in μB/f.u.: 0.00
# Total DFT energy (no corrections) in eV/atom: -5.044

No. 4
# PBE LiVInIr, optimized geometry
data_LiVInIr
_cell_length_a 6.229
_cell_length_b 6.229
_cell_length_c 6.229
_cell_angle_alpha 90.00
_cell_angle_beta 90.00
_cell_angle_gamma 90.00
_symmetry_space_group_name_H-M 'F -4 3 m'
_symmetry_Int_Tables_number 216
_symmetry_space_group_name_Hall 'F -4 2 3'
loop_
_atom_site_label
_atom_site_fract_x
_atom_site_fract_y
_atom_site_fract_z
Li1 0.000 0.000 0.000
V1 0.250 0.250 0.750
In1 0.250 0.250 0.250
Ir1 0.000 0.000 0.500
# Volume in Å³/atom: 15.106
# Formation enthalpy at 0 K in eV per atom: -0.2754
# Total magnetization in μB/f.u.: 0.00
# Total DFT energy (no corrections) in eV/atom: -5.933

No. 5
# PBE Li2YInIr, optimized geometry
data_Li2YInIr
_cell_length_a 4.552
_cell_length_b 4.552
_cell_length_c 5.802
_cell_angle_alpha 90.00
_cell_angle_beta 90.00
_cell_angle_gamma 90.00
_symmetry_space_group_name_H-M 'P 4/m m m'
_symmetry_Int_Tables_number 123
_symmetry_space_group_name_Hall '-P 4 2'
loop_
_atom_site_label
_atom_site_fract_x
_atom_site_fract_y
_atom_site_fract_z
Li1 0.000 0.500 0.000
Y1 0.000 0.000 0.500
In1 0.000 0.000 0.000
Ir1 0.500 0.500 0.500
# Volume in Å³/atom: 24.042
# Formation enthalpy at 0 K in eV per atom: 0.6860
# Total magnetization in μB/f.u.: 0.00
# Total DFT energy (no corrections) in eV/atom: -3.692

No. 6
# PBE LuInIr, optimized geometry
data_LuInIr
_cell_length_a 3.590
_cell_length_b 3.590
_cell_length_c 9.430
_cell_angle_alpha 90.00
_cell_angle_beta 90.00
_cell_angle_gamma 90.00
_symmetry_space_group_name_H-M 'I 4 m m'
_symmetry_Int_Tables_number 107
_symmetry_space_group_name_Hall 'I 4 -2'
loop_
_atom_site_label
_atom_site_fract_x
_atom_site_fract_y
_atom_site_fract_z
Lu1 0.000 0.000 0.000
In1 0.000 0.000 0.692
Ir1 0.000 0.000 0.351
# Volume in Å³/atom: 20.252
# Formation enthalpy at 0 K in eV per atom: -0.4960
# Total magnetization in μB/f.u.: 0.00
# Total DFT energy (no corrections) in eV/atom: -5.869